RbAlO | PBE | relaxed

- formation energy (no corrections) (eV per atom) = -1.323
- VASP energy (eV per atom) = -4.545

Lattice parameters (Å, degrees): 13.987 3.269 6.242 90.00 90.00 90.00
Sites, in units of the cell vectors:
Rb1 0.154 0.250 0.098
Rb2 0.346 0.750 0.598
Rb3 0.654 0.250 0.402
Rb4 0.846 0.750 0.902
Al1 0.070 0.750 0.606
Al2 0.430 0.250 0.106
Al3 0.570 0.750 0.894
Al4 0.930 0.250 0.394
O1 0.004 0.750 0.336
O2 0.496 0.250 0.836
O3 0.504 0.750 0.164
O4 0.996 0.250 0.664